Here is crystalline CaHfBeN3 at its relaxed geometry from Alexandria. Energies are from PBE.

The structure in POSCAR format:
```
CaHfBeN3
1.0
6.867 0.000 0.000
0.000 3.196 0.000
-1.513 0.000 6.729
Ca Hf Be N
2 2 2 6
Direct
0.178 0.250 0.215
0.822 0.750 0.785
0.342 0.750 0.830
0.658 0.250 0.170
0.081 0.250 0.593
0.919 0.750 0.407
0.128 0.250 0.848
0.166 0.750 0.522
0.438 0.750 0.156
0.562 0.250 0.844
0.834 0.250 0.478
0.872 0.750 0.152
```

Properties
The final energy comes out at -7.891 eV per atom.

Here is crystalline CaHfBeO2 at its relaxed geometry from Alexandria. Energies are from PBE.

The structure in POSCAR format:
```
CaHfBeO2
1.0
4.099 0.000 0.000
0.000 4.099 0.000
0.000 0.000 5.144
Ca Hf Be O
1 1 1 2
Direct
0.000 0.000 0.000
0.500 0.500 0.500
0.500 0.500 0.000
0.000 0.500 0.500
0.500 0.000 0.500
```

Properties
The final energy comes out at -6.587 eV per atom.

Here is crystalline CaHfBePd2 at its relaxed geometry from Alexandria. Energies are from PBE.

The structure in POSCAR format:
```
CaHfBePd2
1.0
4.735 0.000 0.000
0.000 4.735 0.000
0.000 0.000 5.334
Ca Hf Be Pd
1 1 1 2
Direct
0.000 0.000 0.000
0.000 0.000 0.500
0.500 0.500 0.500
0.000 0.500 0.000
0.500 0.000 0.000
```

Properties
The calculation puts the formation energy at 1.55 eV/atom.

Here is crystalline Ca2HfBeRu at its relaxed geometry from Alexandria. Energies are from PBE.

The structure in POSCAR format:
```
Ca2HfBeRu
1.0
5.655 0.000 0.000
0.000 5.655 0.000
0.000 0.000 4.518
Ca Hf Be Ru
2 1 1 1
Direct
0.000 0.500 0.000
0.500 0.000 0.000
0.000 0.000 0.000
0.000 0.000 0.500
0.500 0.500 0.500
```

Properties
The calculation puts the formation energy at 1.80 eV/atom.

Here is crystalline CaHfBeSb2 at its relaxed geometry from Alexandria. Energies are from PBE.

The structure in POSCAR format:
```
CaHfBeSb2
1.0
5.491 0.000 0.000
0.000 5.491 0.000
0.000 0.000 4.640
Ca Hf Be Sb
1 1 1 2
Direct
0.000 0.000 0.000
0.500 0.500 0.500
0.000 0.000 0.500
0.000 0.500 0.000
0.500 0.000 0.000
```

Properties
The final energy comes out at -3.585 eV per atom.

Here is crystalline CaHf2ScBe at its relaxed geometry from Alexandria. Energies are from PBE.

The structure in POSCAR format:
```
CaHf2ScBe
1.0
4.866 0.000 0.000
0.000 4.866 0.000
0.000 0.000 5.029
Ca Hf Sc Be
1 2 1 1
Direct
0.000 0.000 0.000
0.000 0.500 0.500
0.500 0.000 0.500
0.500 0.500 0.000
0.500 0.500 0.500
```

Properties
The calculation puts the formation energy at 0.42 eV/atom.

Here is crystalline CaHfTi2Be at its relaxed geometry from Alexandria. Energies are from PBE.

The structure in POSCAR format:
```
CaHfTi2Be
1.0
4.570 0.000 0.000
0.000 4.570 0.000
0.000 0.000 5.062
Ca Hf Ti Be
1 1 2 1
Direct
0.000 0.000 0.000
0.000 0.000 0.500
0.000 0.500 0.000
0.500 0.000 0.000
0.500 0.500 0.500
```

Properties
The calculation puts the formation energy at 2.02 eV/atom.

Here is crystalline CaHf2BeV at its relaxed geometry from Alexandria. Energies are from PBE.

The structure in POSCAR format:
```
CaHf2BeV
1.0
4.799 0.000 0.000
0.000 4.799 0.000
0.000 0.000 5.453
Ca Hf Be V
1 2 1 1
Direct
0.000 0.000 0.000
0.000 0.500 0.500
0.500 0.000 0.500
0.500 0.500 0.000
0.000 0.000 0.500
```

Properties
The calculation puts the formation energy at 1.17 eV/atom.

Here is crystalline Ca2HfBeW at its relaxed geometry from Alexandria. Energies are from PBE.

The structure in POSCAR format:
```
Ca2HfBeW
1.0
5.585 0.000 0.000
0.000 5.585 0.000
0.000 0.000 4.975
Ca Hf Be W
2 1 1 1
Direct
0.000 0.500 0.000
0.500 0.000 0.000
0.000 0.000 0.500
0.500 0.500 0.500
0.000 0.000 0.000
```

Properties
The calculation puts the formation energy at 1.37 eV/atom.

Here is crystalline CaHfBeZn2 at its relaxed geometry from Alexandria. Energies are from PBE.

The structure in POSCAR format:
```
CaHfBeZn2
1.0
4.858 0.000 0.000
0.000 4.858 0.000
0.000 0.000 4.599
Ca Hf Be Zn
1 1 1 2
Direct
0.000 0.000 0.000
0.500 0.500 0.500
0.000 0.000 0.500
0.000 0.500 0.000
0.500 0.000 0.000
```

Properties
The calculation puts the formation energy at 1.34 eV/atom.

Here is crystalline CaBe3Hg at its relaxed geometry from Alexandria. Energies are from PBE.

The structure in POSCAR format:
```
CaBe3Hg
1.0
5.523 0.000 0.000
0.000 5.523 0.000
0.000 0.000 5.523
Ca Be Hg
1 3 1
Direct
0.000 0.000 0.000
0.000 0.000 0.500
0.000 0.500 0.000
0.500 0.000 0.000
0.500 0.500 0.500
```

Properties
Its energy relative to the lowest polymorph listed for this composition is 1297 meV per atom. The calculation puts the formation energy at 1.85 eV/atom.

Here is crystalline Ca2BeHg at its relaxed geometry from Alexandria. Energies are from PBE.

The structure in POSCAR format:
```
Ca2BeHg
1.0
7.355 0.000 0.000
0.000 7.355 0.000
0.000 0.000 7.355
Ca Be Hg
8 4 4
Direct
0.250 0.250 0.250
0.250 0.250 0.750
0.250 0.750 0.250
0.250 0.750 0.750
0.750 0.250 0.250
0.750 0.250 0.750
0.750 0.750 0.250
0.750 0.750 0.750
0.000 0.000 0.000
0.000 0.500 0.500
0.500 0.000 0.500
0.500 0.500 0.000
0.000 0.000 0.500
0.000 0.500 0.000
0.500 0.000 0.000
0.500 0.500 0.500
```

Properties
Its energy relative to the lowest polymorph listed for this composition is 51 meV per atom. The calculation puts the formation energy at -0.04 eV/atom.

Here is crystalline CaBeHg2 at its relaxed geometry from Alexandria. Energies are from PBE.

The structure in POSCAR format:
```
CaBeHg2
1.0
3.911 0.000 0.000
0.000 4.659 0.000
-0.006 0.000 5.182
Ca Be Hg
1 1 2
Direct
0.000 0.000 0.000
0.499 0.500 0.709
0.500 0.000 0.537
0.500 0.500 0.194
```

Properties
The calculation puts the formation energy at -0.03 eV/atom.

Here is crystalline CaBeHg at its relaxed geometry from Alexandria. Energies are from PBE.

The structure in POSCAR format:
```
CaBeHg
1.0
6.504 0.000 0.000
0.000 6.504 0.000
0.000 0.000 6.504
Ca Be Hg
4 4 4
Direct
0.000 0.000 0.000
0.000 0.500 0.500
0.500 0.000 0.500
0.500 0.500 0.000
0.250 0.250 0.750
0.250 0.750 0.250
0.750 0.250 0.250
0.750 0.750 0.750
0.000 0.000 0.500
0.000 0.500 0.000
0.500 0.000 0.000
0.500 0.500 0.500
```

Properties
Its energy relative to the lowest polymorph listed for this composition is 239 meV per atom. The calculation puts the formation energy at 0.14 eV/atom.

Here is crystalline Ca2BeHg at its relaxed geometry from Alexandria. Energies are from PBE.

The structure in POSCAR format:
```
Ca2BeHg
1.0
7.338 0.000 0.000
0.000 7.388 0.000
-0.011 0.000 3.670
Ca Be Hg
4 2 2
Direct
0.250 0.250 0.000
0.250 0.750 0.000
0.750 0.250 0.000
0.750 0.750 0.000
0.000 0.000 0.500
0.500 0.500 0.500
0.000 0.500 0.500
0.500 0.000 0.500
```

Properties
Its energy relative to the lowest polymorph listed for this composition is 54 meV per atom. The calculation puts the formation energy at -0.04 eV/atom.

Here is crystalline CaBeHg2 at its relaxed geometry from Alexandria. Energies are from PBE.

The structure in POSCAR format:
```
CaBeHg2
1.0
3.636 0.000 0.000
0.000 4.031 0.000
-1.621 0.000 6.110
Ca Be Hg
1 1 2
Direct
0.000 0.000 0.000
0.500 0.000 0.500
0.369 0.500 0.712
0.631 0.500 0.288
```

Properties
The calculation puts the formation energy at -0.01 eV/atom.

Here is crystalline Ca2BeHg at its relaxed geometry from Alexandria. Energies are from PBE.

The structure in POSCAR format:
```
Ca2BeHg
1.0
7.054 0.000 0.000
0.000 7.054 0.000
0.000 0.000 7.054
Ca Be Hg
8 4 4
Direct
0.000 0.000 0.000
0.000 0.500 0.500
0.250 0.250 0.250
0.250 0.750 0.750
0.500 0.000 0.500
0.500 0.500 0.000
0.750 0.250 0.750
0.750 0.750 0.250
0.000 0.000 0.500
0.000 0.500 0.000
0.500 0.000 0.000
0.500 0.500 0.500
0.250 0.250 0.750
0.250 0.750 0.250
0.750 0.250 0.250
0.750 0.750 0.750
```

Properties
Its energy relative to the lowest polymorph listed for this composition is 182 meV per atom. The calculation puts the formation energy at 0.09 eV/atom.

Here is crystalline CaBeHg2 at its relaxed geometry from Alexandria. Energies are from PBE.

The structure in POSCAR format:
```
CaBeHg2
1.0
5.279 0.000 0.000
0.000 5.279 0.000
0.000 0.000 15.602
Ca Be Hg
4 4 8
Direct
0.000 0.000 0.000
0.000 0.500 0.250
0.500 0.000 0.750
0.500 0.500 0.500
0.000 0.000 0.500
0.000 0.500 0.750
0.500 0.000 0.250
0.500 0.500 0.000
0.109 0.250 0.625
0.250 0.609 0.875
0.250 0.891 0.375
0.391 0.250 0.125
0.609 0.750 0.125
0.750 0.109 0.375
0.750 0.391 0.875
0.891 0.750 0.625
```

Properties
The calculation puts the formation energy at 0.11 eV/atom.

Here is crystalline Ca2BeHg at its relaxed geometry from Alexandria. Energies are from PBE.

The structure in POSCAR format:
```
Ca2BeHg
1.0
11.515 0.000 0.000
0.000 3.696 0.000
-2.313 0.000 4.627
Ca Be Hg
4 2 2
Direct
0.000 0.000 0.000
0.198 0.000 0.698
0.500 0.500 0.000
0.698 0.500 0.698
0.442 0.000 0.442
0.942 0.500 0.442
0.284 0.500 0.284
0.784 0.000 0.284
```

Properties
Its energy relative to the lowest polymorph listed for this composition is 69 meV per atom. The calculation puts the formation energy at -0.03 eV/atom.

Here is crystalline CaBe2Hg at its relaxed geometry from Alexandria. Energies are from PBE.

The structure in POSCAR format:
```
CaBe2Hg
1.0
3.555 0.000 0.000
0.000 3.874 0.000
-1.770 0.000 5.293
Ca Be Hg
1 2 1
Direct
0.000 0.000 0.000
0.283 0.000 0.563
0.367 0.500 0.733
0.699 0.500 0.397
```

Properties
The calculation puts the formation energy at 0.18 eV/atom.

Here is crystalline CaBeHg at its relaxed geometry from Alexandria. Energies are from PBE.

The structure in POSCAR format:
```
CaBeHg
1.0
4.374 0.000 0.000
-2.187 3.788 0.000
0.000 0.000 3.947
Ca Be Hg
1 1 1
Direct
0.000 0.000 0.000
0.333 0.667 0.500
0.667 0.333 0.500
```

Properties
Its energy relative to the lowest polymorph listed for this composition is 0 meV per atom. The calculation puts the formation energy at -0.10 eV/atom.

Here is crystalline CaBeHg2 at its relaxed geometry from Alexandria. Energies are from PBE.

The structure in POSCAR format:
```
CaBeHg2
1.0
3.491 0.000 0.000
0.000 3.491 0.000
0.000 0.000 7.257
Ca Be Hg
1 1 2
Direct
0.000 0.000 0.000
0.500 0.500 0.692
0.000 0.000 0.580
0.500 0.500 0.287
```

Properties
The calculation puts the formation energy at 0.06 eV/atom.

Here is crystalline CaBeHg at its relaxed geometry from Alexandria. Energies are from PBE.

The structure in POSCAR format:
```
CaBeHg
1.0
3.453 0.000 0.000
0.000 3.453 0.000
0.000 0.000 10.583
Ca Be Hg
2 2 2
Direct
0.000 0.000 0.000
0.500 0.500 0.500
0.000 0.000 0.305
0.500 0.500 0.805
0.000 0.000 0.706
0.500 0.500 0.206
```

Properties
Its energy relative to the lowest polymorph listed for this composition is 174 meV per atom. The calculation puts the formation energy at 0.08 eV/atom.

Here is crystalline CaBe2Hg at its relaxed geometry from Alexandria. Energies are from PBE.

The structure in POSCAR format:
```
CaBe2Hg
1.0
4.301 0.000 0.000
0.000 4.305 0.000
0.000 0.000 4.599
Ca Be Hg
1 2 1
Direct
0.000 0.000 0.000
0.500 0.248 0.500
0.500 0.752 0.500
0.000 0.500 0.500
```

Properties
The calculation puts the formation energy at 0.19 eV/atom.

Here is crystalline CaBeHg2 at its relaxed geometry from Alexandria. Energies are from PBE.

The structure in POSCAR format:
```
CaBeHg2
1.0
4.341 0.000 0.000
-2.171 3.760 0.000
0.000 0.000 16.892
Ca Be Hg
3 3 6
Direct
0.000 0.000 0.000
0.333 0.667 0.667
0.667 0.333 0.333
0.000 0.000 0.806
0.333 0.667 0.473
0.667 0.333 0.140
0.000 0.000 0.216
0.000 0.000 0.447
0.333 0.667 0.114
0.333 0.667 0.883
0.667 0.333 0.550
0.667 0.333 0.780
```

Properties
The calculation puts the formation energy at -0.05 eV/atom.

Here is crystalline Ca2BeHg at its relaxed geometry from Alexandria. Energies are from PBE.

The structure in POSCAR format:
```
Ca2BeHg
1.0
8.109 0.000 0.000
0.000 8.109 0.000
0.000 0.000 6.960
Ca Be Hg
8 4 4
Direct
0.226 0.250 0.125
0.250 0.726 0.375
0.250 0.774 0.875
0.274 0.250 0.625
0.726 0.750 0.625
0.750 0.226 0.875
0.750 0.274 0.375
0.774 0.750 0.125
0.000 0.000 0.000
0.000 0.500 0.250
0.500 0.000 0.750
0.500 0.500 0.500
0.000 0.000 0.500
0.000 0.500 0.750
0.500 0.000 0.250
0.500 0.500 0.000
```

Properties
Its energy relative to the lowest polymorph listed for this composition is 363 meV per atom. The calculation puts the formation energy at 0.27 eV/atom.

Here is crystalline CaBe2Hg at its relaxed geometry from Alexandria. Energies are from PBE.

The structure in POSCAR format:
```
CaBe2Hg
1.0
4.075 0.000 0.000
0.000 5.059 0.000
0.000 0.000 7.340
Ca Be Hg
2 4 2
Direct
0.000 0.000 0.000
0.500 0.500 0.500
0.000 0.000 0.596
0.000 0.500 0.176
0.500 0.000 0.676
0.500 0.500 0.096
0.000 0.500 0.806
0.500 0.000 0.306
```

Properties
The calculation puts the formation energy at 0.27 eV/atom.

Here is crystalline Ca2BeHg at its relaxed geometry from Alexandria. Energies are from PBE.

The structure in POSCAR format:
```
Ca2BeHg
1.0
3.573 0.000 0.000
0.000 3.573 0.000
0.000 0.000 8.155
Ca Be Hg
2 1 1
Direct
0.000 0.000 0.000
0.500 0.500 0.384
0.500 0.500 0.769
0.000 0.000 0.625
```

Properties
Its energy relative to the lowest polymorph listed for this composition is 163 meV per atom. The calculation puts the formation energy at 0.07 eV/atom.

Here is crystalline Ca4BeHg at its relaxed geometry from Alexandria. Energies are from PBE.

The structure in POSCAR format:
```
Ca4BeHg
1.0
0.000 4.697 4.697
4.697 0.000 4.697
4.697 4.697 0.000
Ca Be Hg
4 1 1
Direct
0.125 0.125 0.125
0.125 0.125 0.624
0.125 0.624 0.125
0.624 0.125 0.125
0.500 0.500 0.500
0.750 0.750 0.750
```

Properties
The calculation puts the formation energy at 0.64 eV/atom.

Record-wise V values, in Å³ per cell: 148 86 120 145 140 119 106 126 155 109 168 398 94 275 199 90 351 435 197 73 65 88 126 85 276 458 151 104 207